Dy4TeAs2Se, optimized geometry, DFT PBE; symmetry = P2/m; formation energy from raw total energies = -1.585 eV per atom
1.0
-0.2293 -4.1201 -0.4560
1.3278 -0.8632 7.1303
-6.2393 -0.0490 3.5792
Dy As Te Se
4 2 1 1
Direct
0.5000 0.7700 0.2504
0.0000 0.7760 0.7342
0.5000 0.2300 0.7496
0.0000 0.2240 0.2658
0.0000 0.0000 0.0000
0.5000 0.0000 0.5000
0.5000 0.5000 0.0000
0.0000 0.5000 0.5000

***

Dy3TeAsSe, optimized geometry, DFT PBE; symmetry = C2/c; formation energy from raw total energies = -1.305 eV per atom
1.0
-4.8644 -1.5391 -4.6784
-0.1620 -6.9299 -0.7789
-5.0677 -3.9491 4.9549
Dy Te As Se
6 2 2 2
Direct
0.7500 0.2493 0.5014
0.9982 0.6857 0.1450
0.5018 0.1693 0.1450
0.0018 0.3143 0.8550
0.2500 0.7507 0.4986
0.4982 0.8307 0.8550
0.2500 0.2510 0.4980
0.7500 0.7490 0.5020
0.2500 0.9373 0.1255
0.7500 0.0627 0.8745
0.2500 0.5596 0.8809
0.7500 0.4404 0.1191

***

Dy8Te3AsSe3, optimized geometry, DFT PBE; symmetry = R-3m; formation energy from raw total energies = -1.406 eV per atom
1.0
-0.0427 -3.2393 7.6393
-3.8851 -3.9254 -6.1928
8.4442 0.2028 0.1332
Dy Se Te As
8 3 3 1
Direct
0.2400 0.9821 0.7221
0.2400 0.4800 0.7221
0.7381 0.4762 0.7143
0.7600 0.5200 0.2779
0.7600 0.0179 0.2779
0.7421 0.9821 0.7221
0.2619 0.5238 0.2857
0.2579 0.0179 0.2779
0.5000 0.5000 0.5000
0.0000 0.5000 0.5000
0.5000 0.0000 0.5000
0.0000 0.5000 0.0000
0.5000 0.5000 0.0000
0.0000 0.0000 0.0000
0.0000 0.0000 0.5000

***

Dy6TlAs3Se2, optimized geometry, DFT PBE; symmetry = C2/m; formation energy from raw total energies = -1.418 eV per atom
1.0
-2.3301 2.9697 -1.6073
-6.4402 -5.3658 -0.5775
0.0942 2.1332 9.0405
Se Dy As Tl
2 6 3 1
Direct
0.1692 0.3395 0.3383
0.8308 0.6605 0.6617
0.6721 0.0816 0.3442
0.6647 0.5918 0.3294
0.0002 0.2662 0.0004
0.9998 0.7338 0.9996
0.3353 0.4082 0.6706
0.3279 0.9184 0.6558
0.8331 0.1670 0.6662
0.1669 0.8330 0.3338
0.5000 0.5000 0.0000
0.5000 0.0000 0.0000

***

Dy8Tl4AsSe3, optimized geometry, DFT PBE; symmetry = C2/m; formation energy from raw total energies = -1.019 eV per atom
1.0
-1.4412 -4.0190 6.6744
7.9303 -4.4603 -0.9733
0.4834 7.9262 0.1743
Tl Se Dy As
4 3 8 1
Direct
0.5000 0.0000 0.5000
0.5000 0.0000 0.0000
0.0000 0.0000 0.5000
0.0000 0.0000 0.0000
0.0000 0.5000 0.5000
0.5000 0.5000 0.5000
0.5000 0.5000 0.0000
0.7633 0.2835 0.5266
0.2568 0.2836 0.0201
0.2367 0.7165 0.4734
0.7632 0.2836 0.0201
0.2368 0.7164 0.9799
0.7402 0.7203 0.4803
0.7432 0.7164 0.9799
0.2598 0.2797 0.5197
0.0000 0.5000 0.0000

***

Dy4TlAsSe2, optimized geometry, DFT PBE; symmetry = P2/m; formation energy from raw total energies = -1.321 eV per atom
1.0
4.0941 0.0000 0.0000
0.0000 7.2719 -0.1847
0.0000 2.5221 6.8586
Dy Tl Se As
4 1 2 1
Direct
0.5000 0.2567 0.7406
0.0000 0.2440 0.2615
0.5000 0.7433 0.2594
0.0000 0.7560 0.7385
0.5000 0.5000 0.0000
0.0000 0.0000 0.0000
0.5000 0.0000 0.5000
0.0000 0.5000 0.5000

***

Dy6TlAs2Se3, optimized geometry, DFT PBE; symmetry = C2/m; formation energy from raw total energies = -1.453 eV per atom
1.0
4.1048 0.0000 0.0000
0.0000 8.3925 0.3211
-2.0524 -2.3987 8.7364
Dy Tl Se As
6 1 3 2
Direct
0.3306 0.9059 0.6612
0.6694 0.0941 0.3388
0.9974 0.7388 0.9948
0.3293 0.4233 0.6586
0.0026 0.2612 0.0052
0.6707 0.5767 0.3414
0.5000 0.0000 0.0000
0.5000 0.5000 0.0000
0.8328 0.1683 0.6655
0.1672 0.8317 0.3345
0.1675 0.3357 0.3350
0.8325 0.6643 0.6650

***

DyYAsSe, optimized geometry, DFT PBE; symmetry = R3m; formation energy from raw total energies = -1.642 eV per atom
1.0
-1.6033 3.5689 -0.9645
0.0682 -2.9781 -2.7143
-5.2765 -3.6096 3.8280
Se Dy Y As
1 1 1 1
Direct
0.9672 0.3816 0.3640
0.4829 0.1394 0.6375
0.1224 0.9592 0.0968
0.3054 0.5506 0.8713

***

Dy8ZnAs3Se4, optimized geometry, DFT PBE; symmetry = R-3m; formation energy from raw total energies = -1.522 eV per atom
1.0
-1.6216 3.4810 -7.2354
-7.6081 -3.1243 0.2020
2.6953 4.5777 6.2351
Dy Se Zn As
8 4 1 3
Direct
0.2543 0.2630 0.5086
0.2471 0.7419 0.9948
0.7477 0.7419 0.9948
0.7529 0.2581 0.5058
0.7529 0.2581 0.0052
0.2471 0.7419 0.4942
0.7457 0.7370 0.4914
0.2523 0.2581 0.0052
0.0000 0.0000 0.5000
0.5000 0.0000 0.0000
0.0000 0.0000 0.0000
0.5000 0.0000 0.5000
0.0000 0.5000 0.0000
0.5000 0.5000 0.0000
0.5000 0.5000 0.5000
0.0000 0.5000 0.5000

***

DySiAs, optimized geometry, DFT PBE; symmetry = Cmcm; formation energy from raw total energies = -0.782 eV per atom
1.0
3.8421 0.0000 0.0000
0.0000 4.0219 0.0000
0.0000 2.0109 8.0653
As Si Dy
2 2 2
Direct
0.2500 0.2513 0.4974
0.7500 0.7487 0.5026
0.2500 0.5436 0.9127
0.7500 0.4564 0.0873
0.2500 0.8925 0.2150
0.7500 0.1075 0.7850

***

Dy4SiAs3, optimized geometry, DFT PBE; symmetry = Pm-3m; formation energy from raw total energies = -1.258 eV per atom
1.0
-3.2222 4.8477 -0.1083
-0.8620 -0.4448 5.7405
4.7717 3.1932 0.9639
As Si Dy
3 1 4
Direct
0.5000 0.5000 0.0000
0.0000 0.5000 0.5000
0.5000 0.0000 0.5000
0.0000 0.0000 0.0000
0.0000 0.5000 0.0000
0.0000 0.0000 0.5000
0.5000 0.0000 0.0000
0.5000 0.5000 0.5000

***

Dy8SiTe4As3, optimized geometry, DFT PBE; symmetry = R-3m; formation energy from raw total energies = -1.410 eV per atom
1.0
-7.8636 -2.2810 1.9104
1.9215 0.3698 8.3506
1.3643 6.7337 -4.8453
Si Dy Te As
1 8 4 3
Direct
0.0000 0.5000 0.0000
0.2606 0.2817 0.5211
0.7630 0.2821 0.5259
0.7395 0.7183 0.4789
0.2560 0.2820 0.0189
0.2371 0.7180 0.9811
0.7629 0.2820 0.0189
0.2370 0.7179 0.4741
0.7440 0.7180 0.9811
0.5000 0.0000 0.5000
0.5000 0.0000 0.0000
0.0000 0.0000 0.5000
0.0000 0.0000 0.0000
0.5000 0.5000 0.5000
0.0000 0.5000 0.5000
0.5000 0.5000 0.0000

***

Sm5Dy3As8, optimized geometry, DFT PBE; symmetry = R-3m; formation energy = -147.5 kJ per mole of atoms
1.0
-6.7479 -4.9295 0.0991
-0.0609 -6.9063 4.7056
-4.8097 -0.3632 6.8260
Dy Sm As
3 5 8
Direct
0.0000 0.0000 0.5000
0.0000 0.5000 0.5000
0.5000 0.0000 0.5000
0.0000 0.0000 0.0000
0.5000 0.0000 0.0000
0.0000 0.5000 0.0000
0.5000 0.5000 0.5000
0.5000 0.5000 0.0000
0.7500 0.2460 0.2540
0.2500 0.2500 0.7460
0.7500 0.7500 0.2540
0.2481 0.2481 0.2558
0.7540 0.2500 0.7460
0.2500 0.7540 0.7460
0.2460 0.7500 0.2540
0.7519 0.7519 0.7442

***

SmDyAs, optimized geometry, DFT PBE; symmetry = P3m1; formation energy = -82.1 kJ per mole of atoms
1.0
-0.3954 -3.2308 5.7107
3.0715 -2.3179 -1.0987
0.6759 3.4127 1.9775
Dy As Sm
1 1 1
Direct
0.0758 0.0000 0.0000
0.3285 0.3333 0.6667
0.5957 0.6667 0.3333

***

Sm2DyAs, optimized geometry, DFT PBE; symmetry = R-3m; formation energy = -54.5 kJ per mole of atoms
1.0
-0.6078 -3.6820 1.2034
2.6185 -2.7949 -0.8407
5.2999 -0.2664 8.2494
Sm As Dy
2 1 1
Direct
0.7289 0.7289 0.8134
0.2711 0.2711 0.1866
0.0000 0.0000 0.0000
0.5000 0.5000 0.5000

***

SmDy2As3, optimized geometry, DFT PBE; symmetry = Immm; formation energy = -147.7 kJ per mole of atoms
1.0
3.9969 0.0000 -1.1324
-0.6145 5.4204 -2.1691
-0.1244 -0.3197 7.1808
As Dy Sm
3 2 1
Direct
0.6698 0.6698 0.3396
0.3302 0.3302 0.6604
0.0000 0.0000 0.0000
0.6662 0.1662 0.3323
0.3338 0.8338 0.6677
0.0000 0.5000 0.0000

***

SmDyAs2, optimized geometry, DFT PBE; symmetry = R-3m; formation energy = -147.7 kJ per mole of atoms
1.0
-3.7355 -1.4673 -1.1305
1.5181 -0.8567 3.7877
-0.9614 6.8786 1.9436
As Dy Sm
2 1 1
Direct
0.5040 0.2520 0.7560
0.4960 0.7480 0.2440
0.0000 0.0000 0.0000
0.0000 0.5000 0.5000

***

Sm3DyAs4, optimized geometry, DFT PBE; symmetry = Cmmm; formation energy = -147.4 kJ per mole of atoms
1.0
4.1935 0.0000 0.0000
0.0000 7.2574 -0.0688
0.0000 -2.3534 6.8655
As Sm Dy
4 3 1
Direct
0.0000 0.7539 0.7539
0.5000 0.7520 0.2480
0.5000 0.2480 0.7520
0.0000 0.2461 0.2461
0.0000 0.5000 0.0000
0.5000 0.5000 0.5000
0.0000 0.0000 0.5000
0.5000 0.0000 0.0000

***

Sm2DyAs3, optimized geometry, DFT PBE; symmetry = I4/mmm; formation energy = -147.3 kJ per mole of atoms
1.0
-1.6471 -0.4364 3.8216
3.2454 -2.3889 1.1262
3.5787 8.6386 0.2381
Sm As Dy
2 3 1
Direct
0.7679 0.7692 0.5412
0.1007 0.1019 0.2067
0.9340 0.9360 0.8740
0.5994 0.6006 0.2041
0.2692 0.2705 0.5438
0.4340 0.4360 0.8740

***

SmDyAs, optimized geometry, DFT PBE; symmetry = P4/nmm; formation energy = -84.5 kJ per mole of atoms
1.0
-1.8915 -1.6954 3.4783
3.6185 0.5967 2.2586
-2.6332 7.5179 2.2324
Dy Sm As
2 2 2
Direct
0.3365 0.8365 0.8602
0.8365 0.3365 0.1398
0.3364 0.3364 0.5000
0.8364 0.8364 0.5000
0.8365 0.3365 0.7856
0.3365 0.8365 0.2144

***

Sm3DyAs4, optimized geometry, DFT PBE; symmetry = Pm-3m; formation energy = -147.5 kJ per mole of atoms
1.0
-2.3689 -2.1437 -4.9898
-0.1899 -5.4078 2.4134
-5.4274 1.1249 2.0934
Sm Dy As
3 1 4
Direct
0.5000 0.5000 0.0000
0.5000 0.0000 0.5000
0.0000 0.5000 0.5000
0.0000 0.0000 0.0000
0.5000 0.0000 0.0000
0.0000 0.0000 0.5000
0.0000 0.5000 0.0000
0.5000 0.5000 0.5000

***

SmDyAs2, optimized geometry, DFT PBE; symmetry = R3m; formation energy = -132.1 kJ per mole of atoms
1.0
4.1303 0.0000 0.0000
2.0651 3.5769 0.0000
2.0651 1.1923 7.0924
Sm As Dy
1 2 1
Direct
0.6691 0.6691 0.9926
0.2492 0.2492 0.2525
0.0839 0.0839 0.7482
0.4977 0.4977 0.5068

***

SmDyAs2, optimized geometry, DFT PBE; symmetry = I4_1/amd; formation energy = -147.6 kJ per mole of atoms
1.0
-4.9998 -0.0348 3.1168
-3.0824 -0.8199 -4.9538
4.5042 -5.4093 1.5963
As Dy Sm
4 2 2
Direct
0.2524 0.2524 0.5047
0.7476 0.7476 0.4953
0.4976 0.9976 0.9953
0.0024 0.5024 0.0047
0.2500 0.7500 0.5000
0.5000 0.5000 0.0000
0.0000 0.0000 0.0000
0.7500 0.2500 0.5000